A plane-wave DFT calculation with GGA-PBE was carried out for a relaxed structure of GePO2.

Cell and atoms, written as CIF:
```
data_GePO2
_chemical_formula_sum 'Ge4 P4 O8'
_cell_length_a 5.5643
_cell_length_b 5.5643
_cell_length_c 7.8566
_cell_angle_alpha 90.00
_cell_angle_beta 90.00
_cell_angle_gamma 90.00
_space_group_name_H-M_alt 'I 41/a m d'
_space_group_IT_number 141
loop_
_space_group_symop_operation_xyz
'x,y,z'
'-x,-y,-z'
'-y+1/4,x+3/4,z+1/4'
'y+1/4,-x+3/4,-z+1/4'
'-x+1/2,-y,z+1/2'
'x+1/2,y,-z+1/2'
'y+1/4,-x+1/4,z+3/4'
'-y+1/4,x+1/4,-z+3/4'
'x,-y,-z'
'-x,y,z'
'-y+1/4,-x+1/4,-z+3/4'
'y+1/4,x+1/4,z+3/4'
'-x+1/2,y,-z+1/2'
'x+1/2,-y,z+1/2'
'y+1/4,x+3/4,-z+1/4'
'-y+1/4,-x+3/4,z+1/4'
'x+1/2,y+1/2,z+1/2'
'-x+1/2,-y+1/2,-z+1/2'
'-y+3/4,x+1/4,z+3/4'
'y+3/4,-x+1/4,-z+3/4'
'-x,-y+1/2,z'
'x,y+1/2,-z'
'y+3/4,-x+3/4,z+1/4'
'-y+3/4,x+3/4,-z+1/4'
'x+1/2,-y+1/2,-z+1/2'
'-x+1/2,y+1/2,z+1/2'
'-y+3/4,-x+3/4,-z+1/4'
'y+3/4,x+3/4,z+1/4'
'-x,y+1/2,-z'
'x,-y+1/2,z'
'y+3/4,x+1/4,-z+3/4'
'-y+3/4,-x+1/4,z+3/4'
loop_
_atom_site_label
_atom_site_type_symbol
_atom_site_fract_x
_atom_site_fract_y
_atom_site_fract_z
_atom_site_occupancy
Ge1 Ge 0.0000 0.2500 0.3750 1
P1 P 0.0000 0.2500 0.8750 1
O1 O 0.0000 0.0000 0.0000 1
```

Results
magnetic moment = 0.00 μB per formula unit

***

A plane-wave DFT calculation with GGA-PBE was carried out for a relaxed structure of GePO2.

Cell and atoms, written as CIF:
```
data_GePO2
_chemical_formula_sum 'Ge3 P3 O6'
_cell_length_a 3.0930
_cell_length_b 3.0930
_cell_length_c 19.0547
_cell_angle_alpha 90.00
_cell_angle_beta 90.00
_cell_angle_gamma 120.00
_space_group_name_H-M_alt 'R -3 m'
_space_group_IT_number 166
_space_group_name_Hall '-R 3 2"'
loop_
_atom_site_label
_atom_site_type_symbol
_atom_site_fract_x
_atom_site_fract_y
_atom_site_fract_z
_atom_site_occupancy
Ge1 Ge 0.0000 0.0000 0.0000 1
P1 P 0.0000 0.0000 0.5000 1
O1 O 0.0000 0.0000 0.4095 1
```

Results
magnetic moment = 0.00 μB per formula unit

***

A plane-wave DFT calculation with GGA-PBE was carried out for a relaxed structure of GeP2O8.

Cell and atoms, written as CIF:
```
data_GeP2O8
_chemical_formula_sum 'Ge1 P2 O8'
_cell_length_a 5.1270
_cell_length_b 5.1270
_cell_length_c 6.5323
_cell_angle_alpha 90.00
_cell_angle_beta 90.00
_cell_angle_gamma 120.00
_space_group_name_H-M_alt 'P -3 m 1'
_space_group_IT_number 164
_space_group_name_Hall '-P 3 2"'
loop_
_atom_site_label
_atom_site_type_symbol
_atom_site_fract_x
_atom_site_fract_y
_atom_site_fract_z
_atom_site_occupancy
Ge1 Ge 0.0000 0.0000 0.0000 1
P1 P 0.3333 0.6667 0.7591 1
O1 O 0.1690 0.3380 0.8306 1
O2 O 0.3333 0.6667 0.5228 1
```

Results
magnetic moment = 2.02 μB per formula unit

***

A plane-wave DFT calculation with GGA-PBE was carried out for a relaxed structure of GePO2.

Cell and atoms, written as CIF:
```
data_GePO2
_chemical_formula_sum 'Ge4 P4 O8'
_cell_length_a 5.6809
_cell_length_b 5.6809
_cell_length_c 5.6809
_cell_angle_alpha 90.00
_cell_angle_beta 90.00
_cell_angle_gamma 90.00
_space_group_name_H-M_alt 'F m -3 m'
_space_group_IT_number 225
_space_group_name_Hall '-F 4 2 3'
loop_
_atom_site_label
_atom_site_type_symbol
_atom_site_fract_x
_atom_site_fract_y
_atom_site_fract_z
_atom_site_occupancy
Ge1 Ge 0.0000 0.0000 0.0000 1
P1 P 0.0000 0.0000 0.5000 1
O1 O 0.2500 0.2500 0.2500 1
```

Results
magnetic moment = 0.00 μB per formula unit

***

A plane-wave DFT calculation with GGA-PBE was carried out for a relaxed structure of GeP2O.

Cell and atoms, written as CIF:
```
data_GeP2O
_chemical_formula_sum 'Ge4 P8 O4'
_cell_length_a 4.5884
_cell_length_b 4.5884
_cell_length_c 12.5167
_cell_angle_alpha 90.00
_cell_angle_beta 90.00
_cell_angle_gamma 90.00
_space_group_name_H-M_alt 'I -4 2 d'
_space_group_IT_number 122
_space_group_name_Hall 'I -4 2bw'
loop_
_atom_site_label
_atom_site_type_symbol
_atom_site_fract_x
_atom_site_fract_y
_atom_site_fract_z
_atom_site_occupancy
Ge1 Ge 0.0000 0.0000 0.0000 1
P1 P 0.1412 0.2500 0.6250 1
O1 O 0.0000 0.0000 0.5000 1
```

Results
magnetic moment = 0.00 μB per formula unit

***

A plane-wave DFT calculation with GGA-PBE was carried out for a relaxed structure of GePO4.

Cell and atoms, written as CIF:
```
data_GePO4
_chemical_formula_sum 'Ge2 P2 O8'
_cell_length_a 5.1746
_cell_length_b 5.1746
_cell_length_c 7.5526
_cell_angle_alpha 90.00
_cell_angle_beta 90.00
_cell_angle_gamma 90.00
_space_group_name_H-M_alt 'I -4'
_space_group_IT_number 82
loop_
_space_group_symop_operation_xyz
'x,y,z'
'y,-x,-z'
'-x,-y,z'
'-y,x,-z'
'x+1/2,y+1/2,z+1/2'
'y+1/2,-x+1/2,-z+1/2'
'-x+1/2,-y+1/2,z+1/2'
'-y+1/2,x+1/2,-z+1/2'
loop_
_atom_site_label
_atom_site_type_symbol
_atom_site_fract_x
_atom_site_fract_y
_atom_site_fract_z
_atom_site_occupancy
Ge1 Ge 0.0000 0.0000 0.0000 1
P1 P 0.0000 0.5000 0.2500 1
O1 O 0.1392 0.2916 0.1349 1
```

Results
magnetic moment = 0.88 μB per formula unit

***

A plane-wave DFT calculation with GGA-PBE was carried out for a relaxed structure of GeP2O.

Cell and atoms, written as CIF:
```
data_GeP2O
_chemical_formula_sum 'Ge4 P8 O4'
_cell_length_a 5.9681
_cell_length_b 5.9681
_cell_length_c 5.9681
_cell_angle_alpha 90.00
_cell_angle_beta 90.00
_cell_angle_gamma 90.00
_space_group_name_H-M_alt 'F m -3 m'
_space_group_IT_number 225
_space_group_name_Hall '-F 4 2 3'
loop_
_atom_site_label
_atom_site_type_symbol
_atom_site_fract_x
_atom_site_fract_y
_atom_site_fract_z
_atom_site_occupancy
Ge1 Ge 0.0000 0.0000 0.0000 1
P1 P 0.2500 0.2500 0.2500 1
O1 O 0.0000 0.0000 0.5000 1
```

Results
magnetic moment = 0.00 μB per formula unit

***

A plane-wave DFT calculation with GGA-PBE was carried out for a relaxed structure of GeP2O6.

Cell and atoms, written as CIF:
```
data_GeP2O6
_chemical_formula_sum 'Ge4 P8 O24'
_cell_length_a 10.8088
_cell_length_b 10.4051
_cell_length_c 4.7981
_cell_angle_alpha 90.00
_cell_angle_beta 103.78
_cell_angle_gamma 90.00
_space_group_name_H-M_alt 'C 1 2/c 1'
_space_group_IT_number 15
loop_
_space_group_symop_operation_xyz
'x,y,z'
'-x,-y,-z'
'-x,y,-z+1/2'
'x,-y,z+1/2'
'x+1/2,y+1/2,z'
'-x+1/2,-y+1/2,-z'
'-x+1/2,y+1/2,-z+1/2'
'x+1/2,-y+1/2,z+1/2'
loop_
_atom_site_label
_atom_site_type_symbol
_atom_site_fract_x
_atom_site_fract_y
_atom_site_fract_z
_atom_site_occupancy
Ge1 Ge 0.0000 0.2446 0.2500 1
P1 P 0.2399 0.4106 0.7091 1
O1 O 0.1161 0.1045 0.1975 1
O2 O 0.1552 0.2970 0.7044 1
O3 O 0.2011 0.4731 0.3927 1
```

Results
magnetic moment = 0.00 μB per formula unit

***

A plane-wave DFT calculation with GGA-PBE was carried out for a relaxed structure of GeP2O7.

Cell and atoms, written as CIF:
```
data_GeP2O7
_chemical_formula_sum 'Ge2 P4 O14'
_cell_length_a 4.7326
_cell_length_b 6.7991
_cell_length_c 7.8989
_cell_angle_alpha 91.60
_cell_angle_beta 92.99
_cell_angle_gamma 105.05
_space_group_name_H-M_alt 'P -1'
_space_group_IT_number 2
loop_
_space_group_symop_operation_xyz
'x,y,z'
'-x,-y,-z'
loop_
_atom_site_label
_atom_site_type_symbol
_atom_site_fract_x
_atom_site_fract_y
_atom_site_fract_z
_atom_site_occupancy
Ge1 Ge 0.0000 0.0000 0.0000 1
Ge2 Ge 0.5000 0.5000 0.5000 1
P1 P 0.0148 0.6391 0.2634 1
P2 P 0.3892 0.7537 0.8105 1
O1 O 0.1127 0.8274 0.1594 1
O2 O 0.1560 0.3286 0.5831 1
O3 O 0.1995 0.5328 0.8626 1
O4 O 0.2014 0.9047 0.8264 1
O5 O 0.2841 0.5628 0.3102 1
O6 O 0.3436 0.2055 0.0638 1
O7 O 0.4551 0.7339 0.6233 1
```

Results
magnetic moment = 0.00 μB per formula unit

***

A plane-wave DFT calculation with GGA-PBE was carried out for a relaxed structure of Ge2PPbO8.

Cell and atoms, written as CIF:
```
data_Ge2PPbO8
_chemical_formula_sum 'Ge6 P3 Pb3 O24'
_cell_length_a 4.6946
_cell_length_b 4.6946
_cell_length_c 25.3764
_cell_angle_alpha 90.00
_cell_angle_beta 90.00
_cell_angle_gamma 120.00
_space_group_name_H-M_alt 'R 3 2'
_space_group_IT_number 155
_space_group_name_Hall 'R 3 2"'
loop_
_atom_site_label
_atom_site_type_symbol
_atom_site_fract_x
_atom_site_fract_y
_atom_site_fract_z
_atom_site_occupancy
Ge1 Ge 0.0000 0.0000 0.2335 1
P1 P 0.0000 0.0000 0.5000 1
Pb1 Pb 0.0000 0.0000 0.0000 1
O1 O 0.0000 0.0000 0.3019 1
O2 O 0.0015 0.2855 0.4560 1
```

Results
magnetic moment = 1.04 μB per formula unit

***

A plane-wave DFT calculation with GGA-PBE was carried out for a relaxed structure of GeP2PbO.

Cell and atoms, written as CIF:
```
data_GeP2PbO
_chemical_formula_sum 'Ge1 P2 Pb1 O1'
_cell_length_a 5.1576
_cell_length_b 5.1576
_cell_length_c 3.6588
_cell_angle_alpha 90.00
_cell_angle_beta 90.00
_cell_angle_gamma 90.00
_space_group_name_H-M_alt 'P 4/m m m'
_space_group_IT_number 123
_space_group_name_Hall '-P 4 2'
loop_
_atom_site_label
_atom_site_type_symbol
_atom_site_fract_x
_atom_site_fract_y
_atom_site_fract_z
_atom_site_occupancy
Ge1 Ge 0.0000 0.0000 0.0000 1
P1 P 0.0000 0.5000 0.0000 1
Pb1 Pb 0.5000 0.5000 0.5000 1
O1 O 0.0000 0.0000 0.5000 1
```

Results
magnetic moment = 0.00 μB per formula unit

***

Record-wise uncorrected formation energy values, in eV/atom: -0.28 -0.63 -1.55 0.21 0.17 -1.66 0.57 -1.87 -1.99 -1.19 0.13
Record-wise DOS at the Fermi energy values, in states/eV/atom: 0.19 0.18 0.44 0.42 0.21 0.35 0.50 0.00 0.00 0.34 0.86